--- P ---
A plane-wave DFT calculation with PBE was carried out for an optimized crystal structure of Ho3Er2Tm5.

Cell lengths 10.521, 15.453, 9.344 Å; angles 90.00, 124.24, 90.00 degrees
Space group C2/c (No. 15)
Asymmetric unit:
Ho 0.000 0.231 0.250 [4 per cell]
Ho 0.146 0.123 0.047 [8 per cell]
Er 0.151 0.379 0.548 [8 per cell]
Tm 0.000 0.026 0.250 [4 per cell]
Tm 0.000 0.271 0.750 [4 per cell]
Tm 0.000 0.472 0.750 [4 per cell]
Tm 0.245 0.385 0.240 [8 per cell]



--- Q ---
A plane-wave DFT calculation with PBE was carried out for an optimized crystal structure of Ho3Er2Tm5.

Cell lengths 12.597, 16.782, 6.157 Å; angles 90.00, 90.00, 90.00 degrees
Space group Ibam (No. 72)
Asymmetric unit:
Ho 0.000 0.000 0.250 [4 per cell]
Ho 0.159 0.250 0.000 [8 per cell]
Er 0.100 0.156 0.500 [8 per cell]
Tm 0.000 0.500 0.250 [4 per cell]
Tm 0.099 0.344 0.500 [8 per cell]
Tm 0.249 0.500 0.250 [8 per cell]



The structure with the least stability is Q.



--- P ---
A plane-wave DFT calculation with PBE was carried out for an optimized crystal structure of Ho3Er5Tm4.

Cell lengths 15.817, 5.774, 9.137 Å; angles 90.00, 116.61, 90.00 degrees
Space group C2/m (No. 12)
Asymmetric unit:
Ho 0.000 0.000 0.000 [2 per cell]
Ho 0.209 0.500 0.231 [4 per cell]
Er 0.000 0.500 0.000 [2 per cell]
Er 0.074 0.000 0.700 [4 per cell]
Er 0.173 0.000 0.386 [4 per cell]
Tm 0.080 0.500 0.439 [4 per cell]
Tm 0.213 0.500 0.878 [4 per cell]



--- Q ---
A plane-wave DFT calculation with PBE was carried out for an optimized crystal structure of Ho3Er5Tm4.

Cell lengths 6.051, 7.001, 8.555 Å; angles 89.94, 89.95, 89.95 degrees
Space group P-1 (No. 2)
Asymmetric unit:
Ho 0.000 0.000 0.000 [1 per cell]
Ho 0.167 0.251 0.334 [2 per cell]
Er 0.000 0.500 0.000 [1 per cell]
Er 0.333 0.000 0.666 [2 per cell]
Er 0.500 0.250 0.000 [2 per cell]
Tm 0.167 0.750 0.334 [2 per cell]
Tm 0.333 0.500 0.666 [2 per cell]



The structure with the least stability is P.



--- P ---
A plane-wave DFT calculation with PBE was carried out for an optimized crystal structure of Ho5Er12Tm2.

Cell lengths 15.533, 9.082, 8.403 Å; angles 90.00, 91.14, 90.00 degrees
Space group C2/m (No. 12)
Asymmetric unit:
Ho 0.000 0.000 0.000 [2 per cell]
Ho 0.199 0.500 0.510 [4 per cell]
Ho 0.232 0.000 0.074 [4 per cell]
Er 0.058 0.500 0.834 [4 per cell]
Er 0.090 0.000 0.385 [4 per cell]
Er 0.127 0.307 0.163 [8 per cell]
Er 0.154 0.182 0.743 [8 per cell]
Tm 0.000 0.322 0.500 [4 per cell]



--- Q ---
A plane-wave DFT calculation with PBE was carried out for an optimized crystal structure of Ho5Er12Tm2.

Cell lengths 6.402, 8.754, 11.240 Å; angles 109.50, 92.89, 98.26 degrees
Space group P-1 (No. 2)
Asymmetric unit:
Ho 0.000 0.000 0.000 [1 per cell]
Ho 0.196 0.988 0.696 [2 per cell]
Ho 0.488 0.609 0.281 [2 per cell]
Er 0.033 0.740 0.369 [2 per cell]
Er 0.054 0.343 0.232 [2 per cell]
Er 0.222 0.401 0.959 [2 per cell]
Er 0.298 0.828 0.139 [2 per cell]
Er 0.334 0.129 0.423 [2 per cell]
Er 0.475 0.800 0.862 [2 per cell]
Tm 0.264 0.554 0.539 [2 per cell]



The structure with the least stability is P.